Entry 1:
First-principles (PBE) data for a geometry-optimized PmZrBe2 structure, as listed in the Alexandria database.

ΔE_f in meV/atom: 48
N(E_F) in states/eV/f.u.: 2.28
Symmetry: P4/mmm (123)
Magnetic moment in Bohr magnetons per cell: 0.00
Total energy in eV per formula unit: -20.6
Volume in A^3/atom: 18.397

a b c (Å): 3.338 3.338 6.606
angles (deg): 90.00 90.00 90.00
Fractional coordinates of all 4 atoms:
Be  0.000  0.000  0.201
Be  0.000  0.000  0.799
Pm  0.500  0.500  0.500
Zr  0.500  0.500  0.000

Entry 2:
First-principles (PBE) data for a geometry-optimized Tb2Zn3Ga4Pd structure, as listed in the Alexandria database.

ΔE_f in meV/atom: -514
N(E_F) in states/eV/f.u.: 4.88
Symmetry: P-4m2 (115)
Magnetic moment in Bohr magnetons per cell: 0.00
Total energy in eV per formula unit: -35.5
Volume in A^3/atom: 18.553

a b c (Å): 4.176 4.176 10.639
angles (deg): 90.00 90.00 90.00
Fractional coordinates of all 10 atoms:
Zn  0.000  0.500  0.138
Zn  0.500  0.000  0.862
Zn  0.000  0.000  0.500
Tb  0.000  0.500  0.749
Tb  0.500  0.000  0.251
Ga  0.500  0.000  0.635
Ga  0.000  0.500  0.365
Ga  0.500  0.500  0.000
Ga  0.000  0.000  0.000
Pd  0.500  0.500  0.500

Entry 3:
First-principles (PBE) data for a geometry-optimized NaLiCO3 structure, as listed in the Alexandria database.

N(E_F) in states/eV/f.u.: 0.00
Symmetry: P-6 (174)
Magnetic moment in Bohr magnetons per cell: 0.00
Total energy in eV per formula unit: -38.2
Volume in A^3/atom: 11.366
E above lowest polymorph in kcal/mol of atoms: 0.00

a b c (Å): 14.518 14.518 3.362
angles (deg): 90.00 90.00 120.00
Fractional coordinates of all 54 atoms:
Na  0.778  0.906  0.500
Na  0.428  0.548  0.500
Na  0.121  0.572  0.500
Na  0.804  0.548  0.500
Na  0.744  0.196  0.500
Na  0.129  0.222  0.500
Na  0.094  0.871  0.500
Na  0.452  0.256  0.500
Na  0.452  0.879  0.500
C  0.987  0.319  0.500
C  0.333  0.667  0.000
C  0.336  0.344  0.000
C  0.667  0.333  0.000
C  0.000  0.000  0.000
C  0.332  0.013  0.500
C  0.008  0.664  0.000
C  0.681  0.668  0.500
C  0.656  0.992  0.000
O  0.909  0.997  0.000
O  0.567  0.994  0.000
O  0.920  0.666  0.000
O  0.262  0.044  0.500
O  0.653  0.901  0.000
O  0.427  0.433  0.000
O  0.240  0.581  0.000
O  0.300  0.911  0.500
O  0.089  0.389  0.500
O  0.433  0.082  0.500
O  0.419  0.659  0.000
O  0.248  0.347  0.000
O  0.611  0.700  0.500
O  0.918  0.351  0.500
O  0.956  0.218  0.500
O  0.761  0.417  0.000
O  0.006  0.573  0.000
O  0.782  0.738  0.500
O  0.656  0.239  0.000
O  0.341  0.760  0.000
O  0.649  0.567  0.500
O  0.583  0.344  0.000
O  0.334  0.254  0.000
O  0.003  0.912  0.000
O  0.099  0.752  0.000
O  0.746  0.080  0.000
O  0.088  0.091  0.000
Li  0.897  0.126  0.000
Li  0.229  0.103  0.000
Li  0.524  0.103  0.000
Li  0.250  0.820  0.000
Li  0.874  0.771  0.000
Li  0.180  0.430  0.000
Li  0.570  0.750  0.000
Li  0.897  0.422  0.000
Li  0.578  0.476  0.000

Entry 4:
First-principles (PBE) data for a geometry-optimized CdCu2Re structure, as listed in the Alexandria database.

ΔE_f in meV/atom: 579
N(E_F) in states/eV/f.u.: 2.96
Symmetry: Pmmm (47)
Magnetic moment in Bohr magnetons per cell: 0.32
Total energy in eV per formula unit: -19.2
Volume in A^3/atom: 15.169

a b c (Å): 2.718 4.837 4.616
angles (deg): 90.00 90.00 90.00
Each line ends with the local moment (μB).
Fractional coordinates of all 4 atoms:
Cu  0.500  0.500  0.000  0.01
Cu  0.000  0.000  0.000  0.03
Re  0.500  0.000  0.500  0.26
Cd  0.000  0.500  0.500  0.00

Entry 5:
First-principles (PBE) data for a geometry-optimized InHRh3 structure, as listed in the Alexandria database.

N(E_F) in states/eV/f.u.: 8.57
Symmetry: P4mm (99)
Magnetic moment in Bohr magnetons per cell: 0.00
Total energy in eV per formula unit: -26.1
Volume in A^3/atom: 18.509
E above lowest polymorph in kcal/mol of atoms: 14.12

a b c (Å): 3.809 3.809 6.380
angles (deg): 90.00 90.00 90.00
Fractional coordinates of all 5 atoms:
Rh  0.500  0.000  0.468
Rh  0.000  0.500  0.468
Rh  0.000  0.000  0.737
In  0.000  0.000  0.146
H  0.500  0.500  0.444

Entry 6:
First-principles (PBE) data for a geometry-optimized K3Ho2InO6 structure, as listed in the Alexandria database.

N(E_F) in states/eV/f.u.: 0.00
Symmetry: C2/m (12)
Magnetic moment in Bohr magnetons per cell: 0.00
Total energy in eV per formula unit: -73.2
Volume in A^3/atom: 15.897

a b c (Å): 5.934 5.934 6.559
angles (deg): 98.66 98.66 120.00
Fractional coordinates of all 12 atoms:
O  0.938  0.606  0.813
O  0.062  0.394  0.187
O  0.269  0.269  0.814
O  0.394  0.062  0.187
O  0.606  0.938  0.813
O  0.731  0.731  0.186
K  0.836  0.164  0.500
K  0.500  0.500  0.500
K  0.164  0.836  0.500
In  0.000  0.000  0.000
Ho  0.667  0.333  0.000
Ho  0.333  0.667  0.000

no.,density (g/cm3)
1,5.74
2,8.05
3,2.19
4,11.65
5,7.62
6,5.73